[1]
Y3GaSCl: optimized geometry, GGA-PBE.

a = 8.414 Å, b = 3.820 Å, c = 9.776 Å
α = 90.00°, β = 107.10°, γ = 90.00°
Element x y z (fractional)
Y: 0.161 0.250 0.163
Y: 0.326 0.750 0.900
Y: 0.338 0.750 0.515
Y: 0.662 0.250 0.485
Y: 0.674 0.250 0.100
Y: 0.839 0.750 0.837
Ga: 0.459 0.750 0.241
Ga: 0.541 0.250 0.759
S: 0.088 0.250 0.872
S: 0.912 0.750 0.128
Cl: 0.104 0.250 0.426
Cl: 0.896 0.750 0.574

Values from the calculation:
electronic total energy: -6.055 eV per atom
SG: P2_1/m (11)



[2]
YGaS2Cl: optimized geometry, GGA-PBE.

a = 4.971 Å, b = 4.971 Å, c = 4.686 Å
α = 90.00°, β = 90.00°, γ = 90.00°
Element x y z (fractional)
Y: 0.000 0.000 0.000
Ga: 0.500 0.500 0.000
S: 0.000 0.500 0.500
S: 0.500 0.000 0.500
Cl: 0.500 0.500 0.500

Values from the calculation:
electronic total energy: -3.830 eV per atom
energy relative to the lowest polymorph listed for this composition: 1034 meV/atom
SG: P4/mmm (123)



| no. | size of the total moment (μB per formula unit) |
| --- | --- |
| 1 | 0.000 |
| 2 | 0.000 |